Density functional theory data (GGA-PBE) for a relaxed NdHfO3 crystal.

a b c (Å): 8.2938 8.0504 5.6580
angles (deg): 90.00 132.98 90.00
Last column: nearest neighbours and their distance in Å.
Space group C2/m (No. 12)
Asymmetric unit:
Nd 0.2490 0.0000 0.0249  5 O 2.37-2.50
Hf 0.2500 0.2500 0.5000  6 O 2.10-2.13
O 0.0000 0.1897 0.0000  2 Hf 2.13
O 0.0000 0.3114 0.5000  2 Hf 2.13
O 0.2483 0.0000 0.6051  2 Hf 2.10

Computed properties:
* N(E_F): 11.91 states/eV per cell
* total magnetic moment: 0.0 μB/cell
* uncorrected formation energy: -3.1077 eV per atom

=====

Density functional theory data (GGA-PBE) for a relaxed ScGa2AgH crystal.

a b c (Å): 4.4957 4.4957 3.8394
angles (deg): 90.00 90.00 90.00
Last column: nearest neighbours and their distance in Å.
Space group P4/mmm (No. 123)
Asymmetric unit:
Sc 0.0000 0.0000 0.0000  8 Ga 2.96, 4 Ag 3.18
Ga 0.0000 0.5000 0.5000  2 H 2.25
Ag 0.5000 0.5000 0.0000  2 H 1.92
H 0.5000 0.5000 0.5000  2 Ag 1.92

Computed properties:
* N(E_F): 1.80 states/eV per cell
* total magnetic moment: 0.0 μB/cell
* electronic total energy: -3.788 eV per atom

=====

Density functional theory data (GGA-PBE) for a relaxed Ta3ZnTc crystal.

a b c (Å): 4.7943 4.7943 4.7943
angles (deg): 90.00 90.00 90.00
Last column: nearest neighbours and their distance in Å.
Space group Pm-3m (No. 221)
Asymmetric unit:
Ta 0.0000 0.0000 0.5000  2 Tc 2.40
Zn 0.5000 0.5000 0.5000  12 Ta 3.39
Tc 0.0000 0.0000 0.0000  6 Ta 2.40

Computed properties:
* distance to the lowest polymorph of the same formula: 0.000 eV/atom
* ΔE_f: 1198 meV/atom
* N(E_F): 3.52 states/eV per cell
* total magnetic moment: 0.0 μB/cell

=====

Density functional theory data (GGA-PBE) for a relaxed AlVN3 crystal.

a b c (Å): 3.7894 3.7894 3.7894
angles (deg): 90.00 90.00 90.00
Last column: nearest neighbours and their distance in Å.
Space group Pm-3m (No. 221)
Asymmetric unit:
Al 0.0000 0.0000 0.0000  12 N 2.68
V 0.5000 0.5000 0.5000  6 N 1.89
N 0.0000 0.5000 0.5000  2 V 1.89

Computed properties:
* N(E_F): 3.21 states/eV per cell
* total magnetic moment: 0.1 μB/cell
* uncorrected formation energy: 0.4977 eV per atom

=====

Density functional theory data (GGA-PBE) for a relaxed Pr2Dy2Pb2C crystal.

a b c (Å): 4.8782 4.8782 16.7532
angles (deg): 90.00 90.00 90.00
Last column: nearest neighbours and their distance in Å.
Space group I4/mmm (No. 139)
Asymmetric unit:
Pr 0.0000 0.0000 0.1597  1 C 2.67
Dy 0.0000 0.5000 0.0000  2 C 2.44
Pb 0.0000 0.0000 0.3628  4 Dy 3.35, 5 Pr 3.40-3.47
C 0.0000 0.0000 0.0000  4 Dy 2.44, 2 Pr 2.67

Computed properties:
* ΔE_f: -579 meV/atom
* N(E_F): 1.31 states/eV per cell
* total magnetic moment: 0.0 μB/cell

=====

Density functional theory data (GGA-PBE) for a relaxed TcSb crystal.

a b c (Å): 3.2409 4.4176 10.2516
angles (deg): 90.00 90.00 90.00
Last column: nearest neighbours and their distance in Å.
Space group Imma (No. 74)
Asymmetric unit:
Tc 0.0000 0.2500 0.1154  6 Sb 2.74-2.85
Sb 0.0000 0.2500 0.6129  6 Tc 2.74-2.85

Computed properties:
* distance to the lowest polymorph of the same formula: 0.287 eV/atom
* N(E_F): 7.23 states/eV per cell
* total magnetic moment: 0.0 μB/cell
* uncorrected formation energy: 0.3471 eV per atom

=====

Density functional theory data (GGA-PBE) for a relaxed Mo2Pt crystal.

a b c (Å): 4.4873 4.4873 2.7240
angles (deg): 90.00 90.00 120.00
Last column: nearest neighbours and their distance in Å.
Space group P6/mmm (No. 191)
Asymmetric unit:
Mo 0.3333 0.6667 0.0000  5 Mo 2.59-2.72
Pt 0.0000 0.0000 0.5000  2 Pt 2.72, 12 Mo 2.93

Computed properties:
* distance to the lowest polymorph of the same formula: 0.202 eV/atom
* ΔE_f: 38 meV/atom
* N(E_F): 3.30 states/eV per cell
* total magnetic moment: 0.0 μB/cell

=====

Density functional theory data (GGA-PBE) for a relaxed TbWC2 crystal.

a b c (Å): 3.2431 3.2431 16.7493
angles (deg): 90.00 90.00 120.00
Last column: nearest neighbours and their distance in Å.
Space group R-3m (No. 166, hexagonal axes)
Asymmetric unit:
Tb 0.0000 0.0000 0.0000  6 C 2.47
W 0.0000 0.0000 0.5000  6 C 2.21
C 0.0000 0.0000 0.2371  3 W 2.21, 3 Tb 2.47

Computed properties:
* distance to the lowest polymorph of the same formula: 0.128 eV/atom
* ΔE_f: -143 meV/atom
* N(E_F): 4.65 states/eV per cell
* total magnetic moment: 0.0 μB/cell

=====

Density functional theory data (GGA-PBE) for a relaxed AgPd crystal.

a b c (Å): 2.8593 4.0231 5.7559
angles (deg): 90.00 90.00 90.00
Last column: nearest neighbours and their distance in Å.
Space group Pmmn (No. 59, origin choice 2)
Asymmetric unit:
Ag 0.2500 0.2500 0.1295  6 Pd 2.82-2.94, 6 Ag 2.86-2.88
Pd 0.2500 0.2500 0.6194  6 Ag 2.82-2.94, 6 Pd 2.82-2.86

Computed properties:
* ΔE_f: -33 meV/atom
* N(E_F): 3.82 states/eV per cell
* total magnetic moment: 0.0 μB/cell

=====

Density functional theory data (GGA-PBE) for a relaxed KHOs3 crystal.

a b c (Å): 4.6398 4.6398 4.6398
angles (deg): 90.00 90.00 90.00
Last column: nearest neighbours and their distance in Å.
Space group Pm-3m (No. 221)
Asymmetric unit:
K 0.0000 0.0000 0.0000  6 Os 2.32
H 0.5000 0.5000 0.5000  12 Os 3.28
Os 0.0000 0.0000 0.5000  2 K 2.32

Computed properties:
* distance to the lowest polymorph of the same formula: 2.991 eV/atom
* N(E_F): 7.07 states/eV per cell
* total magnetic moment: 3.6 μB/cell

=====

Density functional theory data (GGA-PBE) for a relaxed Y2Er5Th2 crystal.

a b c (Å): 14.7995 11.8402 6.5882
angles (deg): 90.00 90.00 90.00
Last column: nearest neighbours and their distance in Å.
Space group Ima2 (No. 46)
Asymmetric unit:
Y 0.1251 0.0019 0.0000  4 Er 3.37-3.56, 2 Th 3.59-3.60, 2 Y 3.70
Er 0.0530 0.7437 0.8368  5 Er 3.17-3.52, 1 Th 3.25, 1 Y 3.41
Er 0.1425 0.2257 0.6404  5 Er 3.18-3.52, 2 Th 3.32-3.48, 1 Y 3.37
Er 0.2500 0.7329 0.6489  4 Er 3.17-3.32, 2 Th 3.37-3.46, 2 Y 3.48
Th 0.0000 0.0000 0.5312  4 Er 3.25-3.48, 2 Y 3.60
Th 0.2500 0.5006 0.9677  4 Er 3.32-3.46, 2 Y 3.59

Computed properties:
* distance to the lowest polymorph of the same formula: 0.000 eV/atom
* ΔE_f: 238 meV/atom
* N(E_F): 55.83 states/eV per cell
* total magnetic moment: 0.0 μB/cell

=====

Density functional theory data (GGA-PBE) for a relaxed Ba2MgCd crystal.

a b c (Å): 4.2814 4.2814 8.7218
angles (deg): 90.00 90.00 90.00
Last column: nearest neighbours and their distance in Å.
Space group P4/mmm (No. 123)
Asymmetric unit:
Ba 0.0000 0.0000 0.2406  4 Cd 3.68, 4 Mg 3.78
Mg 0.5000 0.5000 0.5000  8 Ba 3.78
Cd 0.5000 0.5000 0.0000  8 Ba 3.68

Computed properties:
* ΔE_f: -189 meV/atom
* N(E_F): 2.87 states/eV per cell
* total magnetic moment: 0.0 μB/cell

=====

Density functional theory data (GGA-PBE) for a relaxed InRePt2 crystal.

a b c (Å): 2.8063 4.8838 9.8435
angles (deg): 90.00 90.00 90.00
Last column: nearest neighbours and their distance in Å.
Space group Imm2 (No. 44)
Asymmetric unit:
In 0.0000 0.0000 0.0000  2 In 2.81, 6 Pt 2.82-2.87, 2 Re 2.91
Re 0.0000 0.5000 0.2405  6 Pt 2.67-2.82, 2 Re 2.81, 2 In 2.91
Pt 0.0000 0.0000 0.5093  2 Re 2.67, 4 Pt 2.81-2.88, 4 In 2.82
Pt 0.0000 0.5000 0.7543  4 Pt 2.81-2.88, 4 Re 2.82, 2 In 2.87

Computed properties:
* ΔE_f: 88 meV/atom
* N(E_F): 4.79 states/eV per cell
* total magnetic moment: 1.6 μB/cell

=====

Density functional theory data (GGA-PBE) for a relaxed NaSi2F crystal.

a b c (Å): 3.3592 3.3592 28.5133
angles (deg): 90.00 90.00 90.00
Last column: nearest neighbours and their distance in Å.
Space group I-42d (No. 122)
Asymmetric unit:
Na 0.0000 0.0000 0.0000  4 F 2.38
Si 0.2481 0.7500 0.1250  4 Si 2.37-2.38
F 0.0000 0.0000 0.5000  4 Na 2.38

Computed properties:
* distance to the lowest polymorph of the same formula: 0.000 eV/atom
* N(E_F): 5.43 states/eV per cell
* total magnetic moment: 0.0 μB/cell
* uncorrected formation energy: -0.8134 eV per atom

=====

Density functional theory data (GGA-PBE) for a relaxed KEuCdSb crystal.

a b c (Å): 8.0497 8.0497 8.0497
angles (deg): 90.00 90.00 90.00
Last column: nearest neighbours and their distance in Å.
Space group F-43m (No. 216)
Asymmetric unit:
K 0.0000 0.0000 0.0000  4 Cd 3.49, 4 Sb 3.49
Eu 0.0000 0.0000 0.5000  4 Sb 3.49, 4 Cd 3.49
Cd 0.2500 0.2500 0.7500  4 K 3.49, 4 Eu 3.49
Sb 0.2500 0.2500 0.2500  4 K 3.49, 4 Eu 3.49

Computed properties:
* total magnetic moment: 28.0 μB/cell
* uncorrected formation energy: -0.4854 eV per atom

=====

Density functional theory data (GGA-PBE) for a relaxed MnGe4Rh crystal.

a b c (Å): 5.9380 5.9380 10.7900
angles (deg): 90.00 90.00 90.00
Last column: nearest neighbours and their distance in Å.
Space group I4/mcm (No. 140)
Asymmetric unit:
Mn 0.0000 0.0000 0.2500  8 Ge 2.61, 2 Rh 2.70
Ge 0.1516 0.3484 0.1275  2 Ge 2.55-2.75, 2 Mn 2.61, 2 Rh 2.64
Rh 0.0000 0.0000 0.0000  8 Ge 2.64, 2 Mn 2.70

Computed properties:
* ΔE_f: -134 meV/atom
* N(E_F): 12.85 states/eV per cell
* total magnetic moment: 9.2 μB/cell

=====

Density functional theory data (GGA-PBE) for a relaxed PuSc2C crystal.

a b c (Å): 3.2822 3.2822 27.3117
angles (deg): 90.00 90.00 120.00
Last column: nearest neighbours and their distance in Å.
Space group R-3m (No. 166, hexagonal axes)
Asymmetric unit:
Pu 0.0000 0.0000 0.0000  6 Pu 3.28, 2 Sc 3.31
Sc 0.0000 0.0000 0.1212  3 C 2.27
C 0.0000 0.0000 0.5000  6 Sc 2.27

Computed properties:
* ΔE_f: -128 meV/atom
* N(E_F): 25.26 states/eV per cell
* total magnetic moment: 18.4 μB/cell

=====

Density functional theory data (GGA-PBE) for a relaxed KLiTa2 crystal.

a b c (Å): 3.8707 3.8707 6.0880
angles (deg): 90.00 90.00 90.00
Last column: nearest neighbours and their distance in Å.
Space group P4/mmm (No. 123)
Asymmetric unit:
K 0.0000 0.0000 0.0000  4 Li 2.74
Li 0.5000 0.5000 0.0000  4 K 2.74
Ta 0.0000 0.5000 0.5000  4 Ta 2.74

Computed properties:
* distance to the lowest polymorph of the same formula: 0.589 eV/atom
* ΔE_f: 1174 meV/atom
* N(E_F): 3.72 states/eV per cell
* total magnetic moment: 0.0 μB/cell

=====

Density functional theory data (GGA-PBE) for a relaxed CaNiTeS2 crystal.

a b c (Å): 5.1391 5.1391 4.8017
angles (deg): 90.00 90.00 90.00
Last column: nearest neighbours and their distance in Å.
Space group P4/mmm (No. 123)
Asymmetric unit:
Ca 0.0000 0.0000 0.0000  2 Ni 2.40, 4 S 2.57
Ni 0.0000 0.0000 0.5000  2 Ca 2.40
Te 0.5000 0.5000 0.5000  8 S 3.52, 4 Ni 3.63
S 0.0000 0.5000 0.0000  2 Ca 2.57

Computed properties:
* N(E_F): 5.96 states/eV per cell
* total magnetic moment: 0.0 μB/cell
* uncorrected formation energy: 0.6359 eV per atom

=====

Density functional theory data (GGA-PBE) for a relaxed PtRhN crystal.

a b c (Å): 4.4439 2.7633 6.5394
angles (deg): 90.00 95.71 90.00
Last column: nearest neighbours and their distance in Å.
Space group P2_1/m (No. 11)
Asymmetric unit:
Pt 0.2111 0.2500 0.1250  2 N 2.09
Rh 0.2295 0.7500 0.6044  3 N 2.03-2.10
N 0.4168 0.7500 0.3341  3 Rh 2.03-2.10, 2 Pt 2.09

Computed properties:
* distance to the lowest polymorph of the same formula: 0.441 eV/atom
* N(E_F): 2.75 states/eV per cell
* total magnetic moment: 0.0 μB/cell
* uncorrected formation energy: 0.6133 eV per atom